This record from Alexandria describes CoAgBrF2 after structural relaxation. The functional is PBE+U.

Values from the calculation:
SG = P4/mmm
total magnetic moment = 3.003 μB/cell
E_tot = -0.1441 Ha/atom

Unit cell a=3.977 b=3.977 c=5.603 alpha=90.00 beta=90.00 gamma=90.00
Positions (direct):
Co 0.000 0.000 0.000
Ag 0.500 0.500 0.500
Br 0.000 0.000 0.500
F 0.000 0.500 0.000
F 0.500 0.000 0.000